No. 1
Below is an optimized crystal structure of YAlCr, with properties calculated at the PBE-GGA level.

Calculated values
M_tot: 4.066 μB/f.u.
Space group: F-43m
Electronic total energy: -6.27 eV per atom
DOS at the Fermi energy: 3.1 states/eV/cell
Crystal system: cubic
ΔH_f (0 K): 0.34 eV per atom
Calculated volume: 71 Å³/cell

Cell: 4.652 4.652 4.652 Å, 60.00 60.00 60.00°
Last column: magnetic moment on the atom in μB.
Sites, in units of the cell vectors:
Al1 0.500 0.500 0.500  -0.06
Cr1 0.750 0.750 0.750  3.52
Y1 0.000 0.000 0.000  0.22

No. 2
Below is an optimized crystal structure of Sr5GaP8, with properties calculated at the PBE-GGA level.

Calculated values
M_tot: 0.744 μB/f.u.
Space group: I-4
Electronic total energy: -4.58 eV per atom
DOS at the Fermi energy: 3.2 states/eV/cell
Crystal system: tetragonal
ΔH_f (0 K): -0.67 eV per atom
Calculated volume: 395 Å³/cell

Cell: 8.004 8.004 8.004 Å, 109.57 109.57 109.28°
Sites, in units of the cell vectors:
P1 0.363 0.610 0.704
P2 0.702 0.870 0.956
P3 0.255 0.298 0.169
P4 0.914 0.745 0.044
P5 0.906 0.659 0.296
P6 0.341 0.637 0.248
P7 0.130 0.086 0.831
P8 0.390 0.094 0.752
Sr1 0.867 0.300 0.941
Sr2 0.700 0.641 0.568
Sr3 0.359 0.927 0.059
Sr4 0.500 0.500 0.000
Sr5 0.073 0.133 0.432
Ga1 0.250 0.750 0.500

No. 3
Below is an optimized crystal structure of Sm3TmMg, with properties calculated at the PBE-GGA level.

Calculated values
M_tot: 0.000 μB/f.u.
Space group: Cmcm
Electronic total energy: -3.86 eV per atom
DOS at the Fermi energy: 13.3 states/eV/cell
Crystal system: orthorhombic
ΔH_f (0 K): 0.19 eV per atom
E above lowest polymorph: 0.125 eV per atom
Calculated volume: 335 Å³/cell

Cell: 3.652 9.774 11.317 Å, 90.00 90.00 124.07°
Sites, in units of the cell vectors:
Sm1 0.943 0.296 0.992
Sm2 0.057 0.704 0.008
Sm3 0.943 0.296 0.508
Sm4 0.057 0.704 0.492
Sm5 0.411 0.607 0.750
Sm6 0.589 0.393 0.250
Tm1 0.454 0.969 0.750
Tm2 0.546 0.031 0.250
Mg1 0.569 0.713 0.250
Mg2 0.431 0.287 0.750

No. 4
Below is an optimized crystal structure of Ce2HoCo, with properties calculated at the PBE-GGA level.

Calculated values
M_tot: 0.958 μB/f.u.
Space group: R-3m
Electronic total energy: -5.58 eV per atom
DOS at the Fermi energy: 11.0 states/eV/cell
Crystal system: trigonal
ΔH_f (0 K): 0.31 eV per atom
E above lowest polymorph: 0.441 eV per atom
Calculated volume: 96 Å³/cell

Cell: 5.447 5.447 4.875 Å, 56.04 56.04 60.00°
Last column: magnetic moment on the atom in μB.
Sites, in units of the cell vectors:
Ce1 0.780 0.780 0.659  0.32
Ce2 0.220 0.220 0.341  0.32
Co1 0.000 0.000 0.000  -0.03
Ho1 0.500 0.500 0.500  0.19

No. 5
Below is an optimized crystal structure of LiThNiPb, with properties calculated at the PBE-GGA level.

Calculated values
M_tot: 0.000 μB/f.u.
Space group: F-43m
Electronic total energy: -4.95 eV per atom
DOS at the Fermi energy: 2.8 states/eV/cell
Crystal system: cubic
ΔH_f (0 K): -0.24 eV per atom
Calculated volume: 81 Å³/cell

Cell: 4.847 4.847 4.847 Å, 60.00 60.00 60.00°
Sites, in units of the cell vectors:
Li1 0.250 0.250 0.250
Th1 0.000 0.000 0.000
Ni1 0.750 0.750 0.750
Pb1 0.500 0.500 0.500

No. 6
Below is an optimized crystal structure of Rb3NpTe3, with properties calculated at the PBE-GGA level.

Calculated values
M_tot: 4.000 μB/f.u.
Space group: C2/m
Electronic total energy: -4.46 eV per atom
DOS at the Fermi energy: 10.8 states/eV/cell
Crystal system: monoclinic
Calculated volume: 670 Å³/cell
Formation energy without anion corrections: -852 meV per atom

Cell: 8.937 8.937 9.634 Å, 99.89 99.89 113.51°
Last column: magnetic moment on the atom in μB.
Sites, in units of the cell vectors:
Np1 0.878 0.878 0.880  4.02
Np2 0.122 0.122 0.120  4.02
Te1 0.132 0.437 0.282  -0.06
Te2 0.167 0.167 0.822  -0.04
Te3 0.833 0.833 0.178  -0.04
Te4 0.868 0.563 0.718  -0.06
Te5 0.437 0.132 0.282  -0.06
Te6 0.563 0.868 0.718  -0.06
Rb1 0.169 0.831 0.500  0.00
Rb2 0.603 0.603 0.384  0.00
Rb3 0.296 0.704 0.000  0.00
Rb4 0.397 0.397 0.616  0.00
Rb5 0.831 0.169 0.500  0.00
Rb6 0.704 0.296 0.000  0.00

No. 7
Below is an optimized crystal structure of InIr2Br, with properties calculated at the PBE-GGA level.

Calculated values
M_tot: 0.000 μB/f.u.
Space group: I-42d
Electronic total energy: -4.81 eV per atom
DOS at the Fermi energy: 5.1 states/eV/cell
Crystal system: tetragonal
E above lowest polymorph: 0.434 eV per atom
Calculated volume: 159 Å³/cell
Formation energy without anion corrections: 726 meV per atom

Cell: 4.313 4.313 9.076 Å, 76.25 76.25 90.00°
Sites, in units of the cell vectors:
In1 0.750 0.250 0.500
In2 0.000 0.000 0.000
Ir1 0.174 0.625 0.250
Ir2 0.875 0.826 0.750
Ir3 0.375 0.424 0.750
Ir4 0.576 0.125 0.250
Br1 0.250 0.750 0.500
Br2 0.500 0.500 0.000

No. 8
Below is an optimized crystal structure of BaCa3Pd, with properties calculated at the PBE-GGA level.

Calculated values
M_tot: 0.000 μB/f.u.
Space group: P1
Electronic total energy: -2.91 eV per atom
DOS at the Fermi energy: 6.7 states/eV/cell
Crystal system: triclinic
ΔH_f (0 K): -0.29 eV per atom
E above lowest polymorph: 0.021 eV per atom
Calculated volume: 388 Å³/cell

Cell: 7.963 8.000 7.993 Å, 115.04 109.06 104.59°
Sites, in units of the cell vectors:
Ba1 0.187 0.998 0.430
Ba2 0.744 0.599 0.382
Ca1 0.658 0.918 0.818
Ca2 0.275 0.520 0.830
Ca3 0.683 0.076 0.364
Ca4 0.784 0.471 0.858
Ca5 0.150 0.436 0.258
Ca6 0.246 0.038 0.965
Pd1 0.966 0.164 0.769
Pd2 0.465 0.376 0.482